In6Sn2Hg3: relaxed, PBE-GGA.

The structure in POSCAR format:
```
In6Sn2Hg3
1.0
2.666 1.539 12.058
-2.666 1.539 12.058
0.000 -3.079 12.058
In Sn Hg
6 2 3
direct
0.092 0.092 0.092
0.187 0.187 0.187
0.365 0.365 0.365
0.635 0.635 0.635
0.813 0.813 0.813
0.908 0.908 0.908
0.456 0.456 0.456
0.544 0.544 0.544
0.000 0.000 0.000
0.276 0.276 0.276
0.724 0.724 0.724
```

total DFT energy (no corrections)	-2.29	eV/atom
volume	26.99	A^3/atom
E_form	0.2	eV per formula unit
relative energy among the computed polymorphs	0	meV/atom
space-group type	R-3m (166)